1.
## K2TcHg (SCAN)

Data for a crystal of K2TcHg relaxed with PBEsol.

a b c (Å): 4.7576 5.7767 5.9359
angles (deg): 119.12 113.63 90.00
Element x y z (fractional)
Hg1 0.1898 0.6898 0.3795
K1 0.7743 0.2743 0.5486
K2 0.9735 0.9735 0.9471
Tc1 0.5624 0.5624 0.1248

Crystal system: orthorhombic



2.
## KHg2Te (SCAN)

Data for a crystal of KHg2Te relaxed with PBEsol.

a b c (Å): 4.4541 6.0111 5.9183
angles (deg): 120.52 112.10 90.00
Element x y z (fractional)
K1 0.5016 0.5016 0.0031
Hg1 0.0004 0.0004 0.0008
Hg2 0.2929 0.7929 0.5858
Te1 0.7052 0.2052 0.4103

Energy relative to the elements, uncorrected in eV per atom: -0.377
Crystal system: orthorhombic



3.
## KHgTe2 (SCAN)

Data for a crystal of KHgTe2 relaxed with PBEsol.

a b c (Å): 3.8560 5.3791 6.4812
angles (deg): 89.84 107.31 90.00
Element x y z (fractional)
Hg1 0.5573 0.6272 0.1145
Te1 0.9340 0.1239 0.8680
Te2 0.7124 0.1249 0.4249
K1 0.2963 0.6240 0.5926

Energy relative to the elements, uncorrected in eV per atom: -0.376
Crystal system: monoclinic



4.
## KHgTe2 (SCAN)

Data for a crystal of KHgTe2 relaxed with PBEsol.

a b c (Å): 3.2039 5.8075 6.4132
angles (deg): 90.00 90.00 90.00
Element x y z (fractional)
Te1 0.0000 0.0000 0.7482
Te2 0.0000 0.0000 0.2518
K1 0.5000 0.5000 0.5000
Hg1 0.5000 0.5000 0.0000

Energy relative to the elements, uncorrected in eV per atom: -0.383
Crystal system: orthorhombic



5.
## KHg2Te (SCAN)

Data for a crystal of KHg2Te relaxed with PBEsol.

a b c (Å): 3.5403 5.6840 5.7401
angles (deg): 90.00 90.00 90.00
Element x y z (fractional)
Te1 0.0000 0.5000 0.5000
Hg1 0.5000 0.5000 0.0000
Hg2 0.0000 0.0000 0.0000
K1 0.5000 0.0000 0.5000

Energy relative to the elements, uncorrected in eV per atom: -0.327
Crystal system: orthorhombic



6.
## KHg2Te (SCAN)

Data for a crystal of KHg2Te relaxed with PBEsol.

a b c (Å): 3.3534 5.5537 6.0459
angles (deg): 90.00 91.10 90.00
Element x y z (fractional)
Te1 0.0000 0.5000 0.5000
Hg1 0.0411 0.0000 0.2471
Hg2 0.9589 0.0000 0.7529
K1 0.5000 0.5000 0.0000

Energy relative to the elements, uncorrected in eV per atom: -0.371
Crystal system: monoclinic



7.
## KHgTe2 (SCAN)

Data for a crystal of KHgTe2 relaxed with PBEsol.

a b c (Å): 4.5830 4.5830 6.3224
angles (deg): 111.25 111.25 90.00
Element x y z (fractional)
Hg1 0.5000 0.5000 0.0000
K1 0.2500 0.7500 0.5000
Te1 0.7500 0.2500 0.5000
Te2 0.0000 0.0000 0.0000

Energy relative to the elements, uncorrected in eV per atom: -0.179
Crystal system: tetragonal



8.
## KTi3Hg (SCAN)

Data for a crystal of KTi3Hg relaxed with PBEsol.

a b c (Å): 4.4662 4.4662 4.4662
angles (deg): 90.00 90.00 90.00
Element x y z (fractional)
Hg1 0.5000 0.5000 0.5000
Ti1 0.0000 0.5000 0.0000
Ti2 0.5000 0.0000 0.0000
Ti3 0.0000 0.0000 0.5000
K1 0.0000 0.0000 0.0000

Crystal system: cubic



Energy in eV per atom, matching the order above: -29.223; -45.855; -38.125; -38.133; -45.805; -45.849; -37.928; -23.114